! Sr4AlSe (PBE, optimized geometry); values from VASP
&SYSTEM
  ibrav = 0, nat = 6, ntyp = 3
/
ATOMIC_SPECIES
Sr 87.62 Sr.upf
Al 26.98 Al.upf
Se 78.96 Se.upf
ATOMIC_POSITIONS angstrom
Sr 1.226 1.226 1.226
Sr 3.683 3.683 1.226
Sr 3.683 1.226 3.683
Sr 1.226 3.683 3.683
Al 7.364 7.364 7.364
Se 4.909 4.909 4.909
CELL_PARAMETERS angstrom
0.000 4.909 4.909
4.909 0.000 4.909
4.909 4.909 0.000
! Density of states at the Fermi level ... 1.24 states/eV/atom
! Calculated total energy ... -12.10 eV per cell
! Magnetization ... 0.0 μB per formula unit

=====

! SrAl3Se (PBE, optimized geometry); values from VASP
&SYSTEM
  ibrav = 0, nat = 5, ntyp = 3
/
ATOMIC_SPECIES
Sr 87.62 Sr.upf
Al 26.98 Al.upf
Se 78.96 Se.upf
ATOMIC_POSITIONS angstrom
Sr 0.000 0.000 0.000
Al 0.000 2.600 2.600
Al 2.600 0.000 2.600
Al 2.600 2.600 0.000
Se 2.600 2.600 2.600
CELL_PARAMETERS angstrom
5.200 0.000 0.000
0.000 5.200 0.000
0.000 0.000 5.200
! Density of states at the Fermi level ... 0.79 states/eV/atom
! Calculated total energy ... -15.12 eV per cell
! Magnetization ... 0.0 μB per formula unit

=====

! SrAl2Se (PBE, optimized geometry); values from VASP
&SYSTEM
  ibrav = 0, nat = 8, ntyp = 3
/
ATOMIC_SPECIES
Sr 87.62 Sr.upf
Al 26.98 Al.upf
Se 78.96 Se.upf
ATOMIC_POSITIONS angstrom
Sr 0.000 0.000 0.000
Sr 4.061 2.308 0.000
Al 0.497 2.308 3.814
Al 1.850 0.000 3.847
Al 4.558 0.000 3.814
Al 5.911 2.308 3.847
Se 1.380 2.308 1.439
Se 5.442 0.000 1.439
CELL_PARAMETERS angstrom
8.122 0.000 0.000
0.000 4.615 0.000
-0.836 0.000 6.024
! Density of states at the Fermi level ... 0.13 states/eV/atom
! Calculated total energy ... -29.65 eV per cell
! Magnetization ... 0.0 μB per formula unit

=====

! Sr2Al2Se (PBE, optimized geometry); values from VASP
&SYSTEM
  ibrav = 0, nat = 10, ntyp = 3
/
ATOMIC_SPECIES
Sr 87.62 Sr.upf
Al 26.98 Al.upf
Se 78.96 Se.upf
ATOMIC_POSITIONS angstrom
Sr 1.345 2.532 0.000
Sr 2.532 6.408 0.000
Sr 5.221 1.345 0.000
Sr 6.408 5.221 0.000
Al 0.952 4.828 2.431
Al 2.924 0.952 2.431
Al 4.828 6.801 2.431
Al 6.801 2.924 2.431
Se 0.000 0.000 2.431
Se 3.876 3.876 2.431
CELL_PARAMETERS angstrom
7.753 0.000 0.000
0.000 7.753 0.000
0.000 0.000 4.862
! Density of states at the Fermi level ... 0.38 states/eV/atom
! Calculated total energy ... -32.08 eV per cell
! Magnetization ... 0.0 μB per formula unit

=====

! SrAl2Se (PBE, optimized geometry); values from VASP
&SYSTEM
  ibrav = 0, nat = 4, ntyp = 3
/
ATOMIC_SPECIES
Sr 87.62 Sr.upf
Al 26.98 Al.upf
Se 78.96 Se.upf
ATOMIC_POSITIONS angstrom
Sr 0.000 0.000 0.000
Al 0.000 2.124 2.778
Al 2.124 0.000 2.778
Se 2.124 2.124 0.000
CELL_PARAMETERS angstrom
4.247 0.000 0.000
0.000 4.247 0.000
0.000 0.000 5.557
! Density of states at the Fermi level ... 0.38 states/eV/atom
! Calculated total energy ... -14.18 eV per cell
! Magnetization ... 0.0 μB per formula unit

=====

! SrAl2Se (PBE, optimized geometry); values from VASP
&SYSTEM
  ibrav = 0, nat = 4, ntyp = 3
/
ATOMIC_SPECIES
Sr 87.62 Sr.upf
Al 26.98 Al.upf
Se 78.96 Se.upf
ATOMIC_POSITIONS angstrom
Sr 0.000 0.000 0.000
Al -0.042 1.952 2.696
Al 2.081 0.000 2.723
Se 1.246 1.952 4.907
CELL_PARAMETERS angstrom
4.245 0.000 0.000
0.000 3.903 0.000
-0.856 0.000 6.120
! Density of states at the Fermi level ... 0.47 states/eV/atom
! Calculated total energy ... -14.67 eV per cell
! Magnetization ... 0.0 μB per formula unit

=====

! SrAl2Se (PBE, optimized geometry); values from VASP
&SYSTEM
  ibrav = 0, nat = 16, ntyp = 3
/
ATOMIC_SPECIES
Sr 87.62 Sr.upf
Al 26.98 Al.upf
Se 78.96 Se.upf
ATOMIC_POSITIONS angstrom
Sr 0.000 0.000 0.000
Sr 0.000 4.206 1.503
Sr 4.206 0.000 4.509
Sr 4.206 4.206 3.006
Al 1.698 2.103 3.757
Al 2.103 5.904 5.260
Al 2.103 6.715 2.254
Al 2.509 2.103 0.751
Al 5.904 6.310 0.751
Al 6.310 1.698 2.254
Al 6.310 2.509 5.260
Al 6.715 6.310 3.757
Se 0.000 0.000 3.006
Se 0.000 4.206 4.509
Se 4.206 0.000 1.503
Se 4.206 4.206 0.000
CELL_PARAMETERS angstrom
8.413 0.000 0.000
0.000 8.413 0.000
0.000 0.000 6.012
! Density of states at the Fermi level ... 0.60 states/eV/atom
! Calculated total energy ... -55.21 eV per cell
! Magnetization ... 0.0 μB per formula unit

=====

! SrAl2Se (PBE, optimized geometry); values from VASP
&SYSTEM
  ibrav = 0, nat = 16, ntyp = 3
/
ATOMIC_SPECIES
Sr 87.62 Sr.upf
Al 26.98 Al.upf
Se 78.96 Se.upf
ATOMIC_POSITIONS angstrom
Sr 0.000 0.000 0.000
Sr 0.000 3.642 3.642
Sr 3.642 0.000 3.642
Sr 3.642 3.642 0.000
Al 0.000 0.000 3.642
Al 0.000 3.642 0.000
Al 1.821 1.821 1.821
Al 1.821 5.463 5.463
Al 3.642 0.000 0.000
Al 3.642 3.642 3.642
Al 5.463 1.821 5.463
Al 5.463 5.463 1.821
Se 1.821 1.821 5.463
Se 1.821 5.463 1.821
Se 5.463 1.821 1.821
Se 5.463 5.463 5.463
CELL_PARAMETERS angstrom
7.284 0.000 0.000
0.000 7.284 0.000
0.000 0.000 7.284
! Density of states at the Fermi level ... 0.61 states/eV/atom
! Calculated total energy ... -53.92 eV per cell
! Magnetization ... 0.0 μB per formula unit

=====

! SrAl2Se (PBE, optimized geometry); values from VASP
&SYSTEM
  ibrav = 0, nat = 4, ntyp = 3
/
ATOMIC_SPECIES
Sr 87.62 Sr.upf
Al 26.98 Al.upf
Se 78.96 Se.upf
ATOMIC_POSITIONS angstrom
Sr 0.000 0.000 0.000
Al 0.000 0.000 3.114
Al 1.978 1.978 2.481
Se 1.978 1.978 5.102
CELL_PARAMETERS angstrom
3.956 0.000 0.000
0.000 3.956 0.000
0.000 0.000 6.510
! Density of states at the Fermi level ... 0.83 states/eV/atom
! Calculated total energy ... -14.29 eV per cell
! Magnetization ... 0.0 μB per formula unit

=====

! SrAl2Se (PBE, optimized geometry); values from VASP
&SYSTEM
  ibrav = 0, nat = 8, ntyp = 3
/
ATOMIC_SPECIES
Sr 87.62 Sr.upf
Al 26.98 Al.upf
Se 78.96 Se.upf
ATOMIC_POSITIONS angstrom
Sr 0.000 0.000 0.000
Sr 2.258 2.303 4.931
Al 0.000 0.000 5.900
Al 0.000 2.303 7.492
Al 2.258 0.000 2.561
Al 2.258 2.303 0.968
Se 0.000 2.303 2.454
Se 2.258 0.000 7.386
CELL_PARAMETERS angstrom
4.516 0.000 0.000
0.000 4.606 0.000
0.000 0.000 9.863
! Density of states at the Fermi level ... 0.29 states/eV/atom
! Calculated total energy ... -28.10 eV per cell
! Magnetization ... 0.0 μB per formula unit

=====

! SrAl2Se (PBE, optimized geometry); values from VASP
&SYSTEM
  ibrav = 0, nat = 12, ntyp = 3
/
ATOMIC_SPECIES
Sr 87.62 Sr.upf
Al 26.98 Al.upf
Se 78.96 Se.upf
ATOMIC_POSITIONS angstrom
Sr 0.000 0.000 0.000
Sr 0.000 2.148 17.497
Sr 1.860 1.074 8.748
Al 0.000 0.000 6.103
Al 0.000 0.000 20.143
Al 0.000 2.148 11.394
Al 0.000 2.148 23.600
Al 1.860 1.074 2.646
Al 1.860 1.074 14.851
Se 0.000 0.000 13.123
Se 0.000 2.148 4.374
Se 1.860 1.074 21.871
CELL_PARAMETERS angstrom
3.720 0.000 0.000
-1.860 3.222 0.000
0.000 0.000 26.245
! Density of states at the Fermi level ... 0.67 states/eV/atom
! Calculated total energy ... -39.16 eV per cell
! Magnetization ... 0.0 μB per formula unit

=====

! SrAl2Se (PBE, optimized geometry); values from VASP
&SYSTEM
  ibrav = 0, nat = 8, ntyp = 3
/
ATOMIC_SPECIES
Sr 87.62 Sr.upf
Al 26.98 Al.upf
Se 78.96 Se.upf
ATOMIC_POSITIONS angstrom
Sr 0.000 0.000 0.000
Sr 1.925 2.266 5.717
Al 0.000 2.266 2.668
Al 0.000 2.266 8.767
Al 1.925 0.000 3.050
Al 1.925 0.000 8.385
Se 0.000 0.000 5.717
Se 1.925 2.266 0.000
CELL_PARAMETERS angstrom
3.850 0.000 0.000
0.000 4.532 0.000
0.000 0.000 11.434
! Density of states at the Fermi level ... 0.34 states/eV/atom
! Calculated total energy ... -28.85 eV per cell
! Magnetization ... 0.0 μB per formula unit

=====

Number 1: ΔE_f (raw) 1.851 eV/f.u.. Number 2: ΔE_f (raw) 1.270 eV/f.u.. Number 3: ΔE_f (raw) -2.175 eV/f.u.. Number 4: ΔE_f (raw) -1.707 eV/f.u.. Number 5: ΔE_f (raw) -1.525 eV/f.u.. Number 6: ΔE_f (raw) -2.017 eV/f.u.. Number 7: ΔE_f (raw) -1.151 eV/f.u.. Number 8: ΔE_f (raw) -0.829 eV/f.u.. Number 9: ΔE_f (raw) -1.642 eV/f.u.. Number 10: ΔE_f (raw) -1.397 eV/f.u.. Number 11: ΔE_f (raw) -0.401 eV/f.u.. Number 12: ΔE_f (raw) -1.774 eV/f.u..